No. 1
The following is a GGA-PBE calculation of a relaxed Mn2CrWCl crystal, from Alexandria via LeMat-Bulk.

Summary:
* spin magnetization: 2.491 μB per formula unit
* crystal system: tetragonal
* space group: P4/mmm (123)
* formation energy from raw total energies: 1.4574 eV/atom

The structure in POSCAR format:
```
Mn2CrWCl
1.0
-2.1860 0.2795 -3.9271
3.0602 -2.2077 -1.8606
-2.1843 -3.8232 0.9438
Mn Cr W Cl
2 1 1 1
Direct
0.0000 0.0000 0.5000
0.5000 0.0000 0.0000
0.0000 0.0000 0.0000
0.5000 0.5000 0.5000
0.0000 0.5000 0.0000
```

---

No. 2
The following is a GGA-PBE calculation of a relaxed As2PIr crystal, from Alexandria via LeMat-Bulk.

Summary:
* spin magnetization: 0.000 μB per formula unit
* DFT formation energy: 0.98 eV per formula unit
* crystal system: orthorhombic
* space group: Imm2 (44)

The structure in POSCAR format:
```
As2PIr
1.0
6.1082 0.0488 0.0017
3.7399 4.8296 -0.0017
-4.4621 -3.3718 2.4562
Ir As P
1 2 1
Direct
0.4770 0.4770 0.0000
0.0241 0.0241 0.0000
0.6897 0.1897 0.5000
0.3091 0.8091 0.5000
```

---

No. 3
The following is a GGA-PBE calculation of a relaxed CuAg2Rh crystal, from Alexandria via LeMat-Bulk.

Summary:
* spin magnetization: 0.489 μB per formula unit
* DFT formation energy: 0.79 eV per formula unit
* crystal system: monoclinic
* space group: Cm (8)

The structure in POSCAR format:
```
CuAg2Rh
1.0
4.8632 0.0043 0.0156
4.0636 2.6716 0.0156
0.9145 0.2741 4.8160
Rh Ag Cu
1 2 1
Direct
0.7580 0.7580 0.7347
0.0030 0.0030 0.9975
0.2438 0.2438 0.2525
0.4952 0.4952 0.5153
```

---

Which of these has the highest spin magnetization?
Mn2CrWCl

---

Number 2 is which compound?
As2PIr